Compound: UGeAuO
Source: Alexandria via LeMat-Bulk
Functional: PBE-GGA
Structure: relaxed

Results
Formation energy without anion corrections, meV/atom: -1281.7

Structure (CIF):
```
data_UGeAuO
_chemical_formula_sum 'U2 Ge2 Au2 O2'
_space_group_name_H-M_alt 'P 1'
_space_group_IT_number 1
_cell_length_a 4.045
_cell_length_b 4.045
_cell_length_c 8.414
_cell_angle_alpha 90.00
_cell_angle_beta 90.00
_cell_angle_gamma 90.00
loop_
_space_group_symop_operation_xyz
'x,y,z'
loop_
_atom_site_label
_atom_site_type_symbol
_atom_site_fract_x
_atom_site_fract_y
_atom_site_fract_z
_atom_site_occupancy
U1 U 0.500 0.000 0.641 1
O1 O 0.000 0.000 0.500 1
Au1 Au 0.500 0.500 0.000 1
Ge1 Ge 0.000 0.500 0.796 1
Ge2 Ge 0.500 0.000 0.204 1
U2 U 0.000 0.500 0.359 1
O2 O 0.500 0.500 0.500 1
Au2 Au 0.000 0.000 0.000 1
```

=====

Compound: AcCdAs2O6
Source: Alexandria via LeMat-Bulk
Functional: PBE-GGA
Structure: relaxed

Results
Formation energy without anion corrections, meV/atom: -1704.9

Structure (CIF):
```
data_AcCdAs2O6
_chemical_formula_sum 'Ac1 Cd1 As2 O6'
_space_group_name_H-M_alt 'P 1'
_space_group_IT_number 1
_cell_length_a 5.628
_cell_length_b 5.628
_cell_length_c 6.612
_cell_angle_alpha 64.82
_cell_angle_beta 64.82
_cell_angle_gamma 60.00
loop_
_space_group_symop_operation_xyz
'x,y,z'
loop_
_atom_site_label
_atom_site_type_symbol
_atom_site_fract_x
_atom_site_fract_y
_atom_site_fract_z
_atom_site_occupancy
O1 O 0.279 0.948 0.250 1
O2 O 0.478 0.721 0.750 1
O3 O 0.721 0.052 0.750 1
O4 O 0.522 0.279 0.250 1
Cd1 Cd 0.500 0.500 0.500 1
O5 O 0.052 0.478 0.750 1
O6 O 0.948 0.522 0.250 1
As1 As 0.207 0.207 0.380 1
Ac1 Ac 0.000 0.000 0.000 1
As2 As 0.793 0.793 0.620 1
```

=====

Compound: Sm3Dy3Tl2
Source: Alexandria via LeMat-Bulk
Functional: PBE-GGA
Structure: relaxed

Results
Energy relative to the lowest polymorph listed for this composition, eV/atom: 0.0809
Calculated formation energy, meV/atom: -106.3

Structure (CIF):
```
data_Sm3Dy3Tl2
_chemical_formula_sum 'Sm6 Dy6 Tl4'
_space_group_name_H-M_alt 'P 1'
_space_group_IT_number 1
_cell_length_a 5.205
_cell_length_b 6.578
_cell_length_c 16.002
_cell_angle_alpha 90.00
_cell_angle_beta 90.00
_cell_angle_gamma 113.31
loop_
_space_group_symop_operation_xyz
'x,y,z'
loop_
_atom_site_label
_atom_site_type_symbol
_atom_site_fract_x
_atom_site_fract_y
_atom_site_fract_z
_atom_site_occupancy
Tl1 Tl 0.771 0.542 0.632 1
Dy1 Dy 0.636 0.272 0.035 1
Dy2 Dy 0.364 0.728 0.535 1
Sm1 Sm 0.959 0.918 0.395 1
Sm2 Sm 0.729 0.457 0.250 1
Tl2 Tl 0.229 0.458 0.132 1
Dy3 Dy 0.364 0.728 0.965 1
Sm3 Sm 0.959 0.918 0.105 1
Tl3 Tl 0.229 0.458 0.368 1
Dy4 Dy 0.636 0.272 0.465 1
Sm4 Sm 0.271 0.543 0.750 1
Tl4 Tl 0.771 0.542 0.868 1
Sm5 Sm 0.041 0.082 0.895 1
Sm6 Sm 0.041 0.082 0.605 1
Dy5 Dy 0.553 0.106 0.750 1
Dy6 Dy 0.447 0.894 0.250 1
```

=====

Compound: Hf2ThFe
Source: Alexandria via LeMat-Bulk
Functional: PBE-GGA
Structure: relaxed

Results
Energy relative to the lowest polymorph listed for this composition, eV/atom: 0.0000
Calculated formation energy, meV/atom: -43.9

Structure (CIF):
```
data_Hf2ThFe
_chemical_formula_sum 'Hf2 Th1 Fe1'
_space_group_name_H-M_alt 'P 1'
_space_group_IT_number 1
_cell_length_a 3.255
_cell_length_b 3.255
_cell_length_c 8.009
_cell_angle_alpha 90.00
_cell_angle_beta 90.00
_cell_angle_gamma 90.00
loop_
_space_group_symop_operation_xyz
'x,y,z'
loop_
_atom_site_label
_atom_site_type_symbol
_atom_site_fract_x
_atom_site_fract_y
_atom_site_fract_z
_atom_site_occupancy
Hf1 Hf 0.000 0.000 0.186 1
Th1 Th 0.500 0.500 0.500 1
Fe1 Fe 0.500 0.500 0.000 1
Hf2 Hf 0.000 0.000 0.814 1
```

=====

Compound: Ho3Zn6Au5
Source: Alexandria via LeMat-Bulk
Functional: PBE-GGA
Structure: relaxed

Results
Calculated formation energy, meV/atom: -548.1

Structure (CIF):
```
data_Ho3Zn6Au5
_chemical_formula_sum 'Ho6 Zn12 Au10'
_space_group_name_H-M_alt 'P 1'
_space_group_IT_number 1
_cell_length_a 4.426
_cell_length_b 9.410
_cell_length_c 12.825
_cell_angle_alpha 90.00
_cell_angle_beta 90.00
_cell_angle_gamma 90.00
loop_
_space_group_symop_operation_xyz
'x,y,z'
loop_
_atom_site_label
_atom_site_type_symbol
_atom_site_fract_x
_atom_site_fract_y
_atom_site_fract_z
_atom_site_occupancy
Ho1 Ho 0.500 0.746 0.500 1
Au1 Au 0.000 0.786 0.000 1
Au2 Au 0.000 0.534 0.876 1
Zn1 Zn 0.500 0.569 0.000 1
Ho2 Ho 0.500 0.748 0.200 1
Ho3 Ho 0.000 0.252 0.700 1
Ho4 Ho 0.500 0.748 0.800 1
Au3 Au 0.000 0.866 0.347 1
Zn2 Zn 0.000 0.593 0.672 1
Zn3 Zn 0.500 0.948 0.000 1
Zn4 Zn 0.000 0.978 0.151 1
Zn5 Zn 0.500 0.022 0.651 1
Au4 Au 0.000 0.866 0.653 1
Au5 Au 0.000 0.534 0.124 1
Zn6 Zn 0.000 0.593 0.328 1
Ho5 Ho 0.000 0.252 0.300 1
Ho6 Ho 0.000 0.254 0.000 1
Zn7 Zn 0.500 0.407 0.172 1
Zn8 Zn 0.000 0.431 0.500 1
Au6 Au 0.500 0.466 0.624 1
Au7 Au 0.500 0.134 0.847 1
Zn9 Zn 0.000 0.052 0.500 1
Zn10 Zn 0.000 0.978 0.849 1
Zn11 Zn 0.500 0.407 0.828 1
Zn12 Zn 0.500 0.022 0.349 1
Au8 Au 0.500 0.214 0.500 1
Au9 Au 0.500 0.466 0.376 1
Au10 Au 0.500 0.134 0.153 1
```

=====

Compound: Li3Cd3In2
Source: Alexandria via LeMat-Bulk
Functional: PBE-GGA
Structure: relaxed

Results
Energy relative to the lowest polymorph listed for this composition, eV/atom: 0.0134
Calculated formation energy, meV/atom: -177.8

Structure (CIF):
```
data_Li3Cd3In2
_chemical_formula_sum 'Li3 Cd3 In2'
_space_group_name_H-M_alt 'P 1'
_space_group_IT_number 1
_cell_length_a 4.438
_cell_length_b 4.526
_cell_length_c 8.972
_cell_angle_alpha 105.21
_cell_angle_beta 104.32
_cell_angle_gamma 90.00
loop_
_space_group_symop_operation_xyz
'x,y,z'
loop_
_atom_site_label
_atom_site_type_symbol
_atom_site_fract_x
_atom_site_fract_y
_atom_site_fract_z
_atom_site_occupancy
In1 In 0.248 0.247 0.496 1
Cd1 Cd 0.500 0.500 0.000 1
Cd2 Cd 0.382 0.880 0.765 1
Cd3 Cd 0.618 0.120 0.235 1
Li1 Li 0.122 0.624 0.245 1
Li2 Li 0.878 0.376 0.755 1
Li3 Li 0.000 0.000 0.000 1
In2 In 0.752 0.753 0.504 1
```

=====

Compound: MoC2
Source: Alexandria via LeMat-Bulk
Functional: PBE-GGA
Structure: relaxed

Results
Energy relative to the lowest polymorph listed for this composition, eV/atom: 0.5713
Calculated formation energy, meV/atom: 1090.3

Structure (CIF):
```
data_MoC2
_chemical_formula_sum 'Mo2 C4'
_space_group_name_H-M_alt 'P 1'
_space_group_IT_number 1
_cell_length_a 6.863
_cell_length_b 6.863
_cell_length_c 2.735
_cell_angle_alpha 90.00
_cell_angle_beta 90.00
_cell_angle_gamma 155.33
loop_
_space_group_symop_operation_xyz
'x,y,z'
loop_
_atom_site_label
_atom_site_type_symbol
_atom_site_fract_x
_atom_site_fract_y
_atom_site_fract_z
_atom_site_occupancy
C1 C 0.470 0.530 0.750 1
Mo1 Mo 0.871 0.129 0.250 1
Mo2 Mo 0.129 0.871 0.750 1
C2 C 0.530 0.470 0.250 1
C3 C 0.251 0.749 0.250 1
C4 C 0.749 0.251 0.750 1
```

=====

Compound: InCuSi
Source: Alexandria via LeMat-Bulk
Functional: PBE-GGA
Structure: relaxed

Results
Formation energy without anion corrections, meV/atom: 432.7

Structure (CIF):
```
data_InCuSi
_chemical_formula_sum 'In2 Cu2 Si2'
_space_group_name_H-M_alt 'P 1'
_space_group_IT_number 1
_cell_length_a 4.030
_cell_length_b 4.030
_cell_length_c 6.819
_cell_angle_alpha 90.00
_cell_angle_beta 90.00
_cell_angle_gamma 90.00
loop_
_space_group_symop_operation_xyz
'x,y,z'
loop_
_atom_site_label
_atom_site_type_symbol
_atom_site_fract_x
_atom_site_fract_y
_atom_site_fract_z
_atom_site_occupancy
Cu1 Cu 0.500 0.000 0.214 1
In1 In 0.000 0.000 0.500 1
Si1 Si 0.000 0.500 0.124 1
In2 In 0.500 0.500 0.500 1
Si2 Si 0.500 0.000 0.876 1
Cu2 Cu 0.000 0.500 0.786 1
```

=====

Compound: TaNb
Source: Alexandria via LeMat-Bulk
Functional: PBE-GGA
Structure: relaxed

Results
Energy relative to the lowest polymorph listed for this composition, eV/atom: 1.7602
Calculated formation energy, meV/atom: 1750.5

Structure (CIF):
```
data_TaNb
_chemical_formula_sum 'Ta2 Nb2'
_space_group_name_H-M_alt 'P 1'
_space_group_IT_number 1
_cell_length_a 4.605
_cell_length_b 4.605
_cell_length_c 5.366
_cell_angle_alpha 90.00
_cell_angle_beta 90.00
_cell_angle_gamma 120.00
loop_
_space_group_symop_operation_xyz
'x,y,z'
loop_
_atom_site_label
_atom_site_type_symbol
_atom_site_fract_x
_atom_site_fract_y
_atom_site_fract_z
_atom_site_occupancy
Ta1 Ta 0.333 0.667 0.750 1
Nb1 Nb 0.333 0.667 0.250 1
Nb2 Nb 0.667 0.333 0.750 1
Ta2 Ta 0.667 0.333 0.250 1
```

=====

Compound: TbCePm
Source: Alexandria via LeMat-Bulk
Functional: PBE-GGA
Structure: relaxed

Results
Energy relative to the lowest polymorph listed for this composition, eV/atom: 0.0219
Calculated formation energy, meV/atom: 95.7

Structure (CIF):
```
data_TbCePm
_chemical_formula_sum 'Tb2 Ce2 Pm2'
_space_group_name_H-M_alt 'P 1'
_space_group_IT_number 1
_cell_length_a 6.735
_cell_length_b 3.470
_cell_length_c 16.667
_cell_angle_alpha 121.37
_cell_angle_beta 36.86
_cell_angle_gamma 104.93
loop_
_space_group_symop_operation_xyz
'x,y,z'
loop_
_atom_site_label
_atom_site_type_symbol
_atom_site_fract_x
_atom_site_fract_y
_atom_site_fract_z
_atom_site_occupancy
Pm1 Pm 0.583 0.959 0.236 1
Ce1 Ce 0.778 0.930 0.585 1
Tb1 Tb 0.960 0.800 0.897 1
Tb2 Tb 0.076 0.251 0.254 1
Ce2 Ce 0.258 0.121 0.566 1
Pm2 Pm 0.453 0.092 0.915 1
```

=====

Compound: Ac6Ga3Ru
Source: Alexandria via LeMat-Bulk
Functional: PBE-GGA
Structure: relaxed

Results
Calculated formation energy, meV/atom: -188.1

Structure (CIF):
```
data_Ac6Ga3Ru
_chemical_formula_sum 'Ac12 Ga6 Ru2'
_space_group_name_H-M_alt 'P 1'
_space_group_IT_number 1
_cell_length_a 9.179
_cell_length_b 9.179
_cell_length_c 9.179
_cell_angle_alpha 98.44
_cell_angle_beta 98.44
_cell_angle_gamma 98.44
loop_
_space_group_symop_operation_xyz
'x,y,z'
loop_
_atom_site_label
_atom_site_type_symbol
_atom_site_fract_x
_atom_site_fract_y
_atom_site_fract_z
_atom_site_occupancy
Ga1 Ga 0.633 0.121 0.292 1
Ac1 Ac 0.686 0.030 0.938 1
Ac2 Ac 0.970 0.062 0.314 1
Ru1 Ru 0.000 0.000 0.000 1
Ga2 Ga 0.292 0.633 0.121 1
Ga3 Ga 0.121 0.292 0.633 1
Ac3 Ac 0.428 0.192 0.561 1
Ac4 Ac 0.938 0.686 0.030 1
Ac5 Ac 0.561 0.428 0.192 1
Ga4 Ga 0.879 0.708 0.367 1
Ac6 Ac 0.808 0.439 0.572 1
Ga5 Ga 0.708 0.367 0.879 1
Ga6 Ga 0.367 0.879 0.708 1
Ac7 Ac 0.030 0.938 0.686 1
Ru2 Ru 0.500 0.500 0.500 1
Ac8 Ac 0.062 0.314 0.970 1
Ac9 Ac 0.314 0.970 0.062 1
Ac10 Ac 0.192 0.561 0.428 1
Ac11 Ac 0.572 0.808 0.439 1
Ac12 Ac 0.439 0.572 0.808 1
```

=====

Compound: Mn2OsBr
Source: Alexandria via LeMat-Bulk
Functional: PBE-GGA
Structure: relaxed

Results
Energy relative to the lowest polymorph listed for this composition, eV/atom: 0.7407
Formation energy without anion corrections, meV/atom: 1044.6

Structure (CIF):
```
data_Mn2OsBr
_chemical_formula_sum 'Mn2 Os1 Br1'
_space_group_name_H-M_alt 'P 1'
_space_group_IT_number 1
_cell_length_a 4.454
_cell_length_b 4.454
_cell_length_c 4.454
_cell_angle_alpha 60.00
_cell_angle_beta 60.00
_cell_angle_gamma 60.00
loop_
_space_group_symop_operation_xyz
'x,y,z'
loop_
_atom_site_label
_atom_site_type_symbol
_atom_site_fract_x
_atom_site_fract_y
_atom_site_fract_z
_atom_site_occupancy
Os1 Os 0.500 0.500 0.500 1
Br1 Br 0.000 0.000 0.000 1
Mn1 Mn 0.750 0.750 0.750 1
Mn2 Mn 0.250 0.250 0.250 1
```

=====

| no. | calculated density (Mg/m³) |
| --- | --- |
| 1 | 12.6 |
| 2 | 6.2 |
| 3 | 8.9 |
| 4 | 12.6 |
| 5 | 11.6 |
| 6 | 5.8 |
| 7 | 7.4 |
| 8 | 6.2 |
| 9 | 9.2 |
| 10 | 7.8 |
| 11 | 7.5 |
| 12 | 10.1 |